(1)
# Ba2BeF2 | the Alexandria database | PBE | relaxed
# **Crystal system**: tetragonal
data_Ba2BeF2
_cell_length_a 5.484
_cell_length_b 5.484
_cell_length_c 8.859
_cell_angle_alpha 90.00
_cell_angle_beta 90.00
_cell_angle_gamma 90.00
_space_group_name_H-M_alt 'I 4/m m m'
_space_group_IT_number 139
_space_group_name_Hall '-I 4 2'
loop_
_atom_site_label
_atom_site_fract_x
_atom_site_fract_y
_atom_site_fract_z
Ba1 0.000 0.500 0.250
Be1 0.000 0.000 0.000
F1 0.000 0.000 0.275

---

(2)
# BaBeF3 | the Alexandria database | PBE | relaxed
# **Crystal system**: cubic
data_BaBeF3
_cell_length_a 4.149
_cell_length_b 4.149
_cell_length_c 4.149
_cell_angle_alpha 90.00
_cell_angle_beta 90.00
_cell_angle_gamma 90.00
_space_group_name_H-M_alt 'P m -3 m'
_space_group_IT_number 221
_space_group_name_Hall '-P 4 2 3'
loop_
_atom_site_label
_atom_site_fract_x
_atom_site_fract_y
_atom_site_fract_z
Ba1 0.000 0.000 0.000
Be1 0.500 0.500 0.500
F1 0.000 0.500 0.500

---

| no. | relative energy among the computed polymorphs (eV per atom) | total magnetic moment (μB per formula unit) | E_form (uncorrected) (eV/f.u.) |
| --- | --- | --- | --- |
| 1 | 0.000 | 0.000 | -8.5 |
| 2 | 0.000 | 0.000 | -12.4 |